[1]
A plane-wave DFT calculation with PBE-GGA was carried out for an optimized crystal structure of NdYNO.

Calculated values
For the total energy, the calculation gives -8.24 eV per atom. The polymorph energy (0 for the lowest one) is 39 meV/atom.

Lattice parameters (Å, degrees): 8.221 6.785 5.042 90.00 90.00 90.00
Space group Pbcm (No. 57)
Asymmetric unit:
Nd (0.125, 0.069, 0.250) (multiplicity 4)
Y (0.378, 0.585, 0.250) (multiplicity 4)
N (0.382, 0.578, 0.750) (multiplicity 4)
O (0.142, 0.087, 0.750) (multiplicity 4)

***

[2]
A plane-wave DFT calculation with PBE-GGA was carried out for an optimized crystal structure of NdYNO.

Calculated values
For the total energy, the calculation gives -8.28 eV per atom. The polymorph energy (0 for the lowest one) is 0 meV/atom.

Lattice parameters (Å, degrees): 5.007 5.007 4.912 90.00 90.00 90.00
Space group P4/nmm (No. 129, origin choice 2)
Asymmetric unit:
Nd (0.250, 0.750, 0.000) (multiplicity 2)
Y (0.250, 0.250, 0.500) (multiplicity 2)
N (0.250, 0.250, 0.001) (multiplicity 2)
O (0.250, 0.750, 0.500) (multiplicity 2)

***

[3]
A plane-wave DFT calculation with PBE-GGA was carried out for an optimized crystal structure of NdYNO.

Calculated values
For the total energy, the calculation gives -7.88 eV per atom. The polymorph energy (0 for the lowest one) is 399 meV/atom.

Lattice parameters (Å, degrees): 4.440 4.440 8.541 90.00 90.00 90.00
Space group P4/nmm (No. 129, origin choice 2)
Asymmetric unit:
Nd (0.250, 0.250, 0.105) (multiplicity 2)
Y (0.250, 0.750, 0.500) (multiplicity 2)
N (0.250, 0.250, 0.568) (multiplicity 2)
O (0.250, 0.750, 0.000) (multiplicity 2)